Here is a crystal of FePtRh3 relaxed with PBEsol from the Alexandria database. Energies are from SCAN.

```
data_FePtRh3
_chemical_formula_sum 'Fe1 Pt1 Rh3'
_symmetry_space_group_name_H-M 'P 1'
_symmetry_Int_Tables_number 1
_cell_length_a 4.663
_cell_length_b 4.663
_cell_length_c 4.663
_cell_angle_alpha 90.00
_cell_angle_beta 90.00
_cell_angle_gamma 90.00
loop_
_symmetry_equiv_pos_as_xyz
'x,y,z'
loop_
_atom_site_label
_atom_site_type_symbol
_atom_site_fract_x
_atom_site_fract_y
_atom_site_fract_z
Pt1 Pt 0.000 0.000 0.000
Fe1 Fe 0.500 0.500 0.500
Rh1 Rh 0.000 0.000 0.500
Rh2 Rh 0.500 0.000 0.000
Rh3 Rh 0.000 0.500 0.000
```

Values from the calculation:
Its space-group type is No. 221. The formation energy comes out at 1.6764 eV per atom. As for the density of states at the Fermi level: 9.4 states/eV per cell. The value obtained for the total moment is 1.3461 μB/atom.

Here is a crystal of Fe4PtRh relaxed with PBEsol from the Alexandria database. Energies are from SCAN.

```
data_Fe4PtRh
_chemical_formula_sum 'Fe4 Pt1 Rh1'
_symmetry_space_group_name_H-M 'P 1'
_symmetry_Int_Tables_number 1
_cell_length_a 4.667
_cell_length_b 4.667
_cell_length_c 4.667
_cell_angle_alpha 60.00
_cell_angle_beta 60.00
_cell_angle_gamma 60.00
loop_
_symmetry_equiv_pos_as_xyz
'x,y,z'
loop_
_atom_site_label
_atom_site_type_symbol
_atom_site_fract_x
_atom_site_fract_y
_atom_site_fract_z
Pt1 Pt 0.250 0.250 0.250
Fe1 Fe 0.625 0.125 0.625
Fe2 Fe 0.125 0.625 0.625
Fe3 Fe 0.625 0.625 0.625
Rh1 Rh 0.000 0.000 0.000
Fe4 Fe 0.625 0.625 0.125
```

Values from the calculation:
Its space-group type is No. 216. The formation energy comes out at -0.1401 eV per atom. As for the density of states at the Fermi level: 2.5 states/eV per cell. The value obtained for the total moment is 2.0102 μB/atom.

Here is a crystal of FeRuPt4 relaxed with PBEsol from the Alexandria database. Energies are from SCAN.

```
data_FeRuPt4
_chemical_formula_sum 'Fe1 Ru1 Pt4'
_symmetry_space_group_name_H-M 'P 1'
_symmetry_Int_Tables_number 1
_cell_length_a 5.118
_cell_length_b 5.118
_cell_length_c 5.118
_cell_angle_alpha 60.00
_cell_angle_beta 60.00
_cell_angle_gamma 60.00
loop_
_symmetry_equiv_pos_as_xyz
'x,y,z'
loop_
_atom_site_label
_atom_site_type_symbol
_atom_site_fract_x
_atom_site_fract_y
_atom_site_fract_z
Pt1 Pt 0.875 0.375 0.375
Ru1 Ru 0.750 0.750 0.750
Pt2 Pt 0.375 0.375 0.875
Pt3 Pt 0.375 0.375 0.375
Pt4 Pt 0.375 0.875 0.375
Fe1 Fe 0.000 0.000 0.000
```

Values from the calculation:
Its space-group type is No. 216. The formation energy comes out at 0.2792 eV per atom. As for the density of states at the Fermi level: 6.1 states/eV per cell. The value obtained for the total moment is 1.0679 μB/atom.

Here is a crystal of FeRuPt3 relaxed with PBEsol from the Alexandria database. Energies are from SCAN.

```
data_FeRuPt3
_chemical_formula_sum 'Fe1 Ru1 Pt3'
_symmetry_space_group_name_H-M 'P 1'
_symmetry_Int_Tables_number 1
_cell_length_a 4.457
_cell_length_b 4.457
_cell_length_c 4.457
_cell_angle_alpha 90.00
_cell_angle_beta 90.00
_cell_angle_gamma 90.00
loop_
_symmetry_equiv_pos_as_xyz
'x,y,z'
loop_
_atom_site_label
_atom_site_type_symbol
_atom_site_fract_x
_atom_site_fract_y
_atom_site_fract_z
Pt1 Pt 0.000 0.500 0.000
Pt2 Pt 0.500 0.000 0.000
Fe1 Fe 0.000 0.000 0.000
Ru1 Ru 0.500 0.500 0.500
Pt3 Pt 0.000 0.000 0.500
```

Values from the calculation:
Its space-group type is No. 221. The calculation puts the energy above the most stable polymorph in this dataset at 0 meV per atom. The formation energy comes out at 1.2465 eV per atom. As for the density of states at the Fermi level: 4.8 states/eV per cell. The value obtained for the total moment is 1.2518 μB/atom.